# Tb2PmDy6Y3 PBE-GGA optimized geometry
# energy of formation from the pure elements = 0.017 eV/atom
# final energy = -5.07 eV/atom
data_Tb2PmDy6Y3
_space_group_name_H-M_alt 'C 1 2/m 1'
_space_group_IT_number 12
_space_group_name_Hall '-C 2y'
_cell_length_a 6.171
_cell_length_b 10.678
_cell_length_c 11.806
_cell_angle_alpha 90.00
_cell_angle_beta 99.97
_cell_angle_gamma 90.00
loop_
_atom_site_label
_atom_site_type_symbol
_atom_site_fract_x
_atom_site_fract_y
_atom_site_fract_z
Tb1 Tb 0.000 0.167 0.000
Pm1 Pm 0.000 0.500 0.000
Dy1 Dy 0.249 0.167 0.750
Dy2 Dy 0.249 0.500 0.750
Y1 Y 0.000 0.000 0.500
Y2 Y 0.000 0.333 0.500